No. 1
ZnAsSe2 | PBE-GGA | relaxed

Cell lengths 3.704, 8.056, 7.215 Å; angles 90.00, 90.00, 90.00 degrees
Space group Cmmm (No. 65)
Asymmetric unit:
Zn 0.000 0.000 0.000
As 0.000 0.000 0.500
Se 0.000 0.500 0.245

Calculated values
* raw formation energy: 0.34 eV/f.u.
* excess energy over the best structure of this formula in the dataset: 247 meV/atom

---

No. 2
ZnAsSe2 | PBE-GGA | relaxed

Cell lengths 3.696, 4.219, 12.994 Å; angles 90.00, 90.00, 90.00 degrees
Space group Immm (No. 71)
Asymmetric unit:
Zn 0.000 0.000 0.000
As 0.000 0.000 0.500
Se 0.000 0.500 0.360

Calculated values
* raw formation energy: 0.06 eV/f.u.
* excess energy over the best structure of this formula in the dataset: 176 meV/atom

---

No. 3
ZnAsSe2 | PBE-GGA | relaxed

Cell lengths 3.702, 3.616, 7.103 Å; angles 90.00, 103.03, 90.00 degrees
Space group P2/m (No. 10)
Asymmetric unit:
Zn 0.000 0.000 0.000
As 0.000 0.000 0.500
Se 0.180 0.500 0.777

Calculated values
* raw formation energy: 0.09 eV/f.u.
* excess energy over the best structure of this formula in the dataset: 184 meV/atom